First-principles (PBE-GGA) data for Cu2HgIr after structural relaxation, as listed in the Alexandria database.

The total energy comes out at -4.10 eV per atom. Its relative energy among the computed polymorphs is 0 meV/atom. The density of states at the Fermi level is 3.15 states/eV/cell. The formation energy comes out at 0.239 eV per atom.

It has space group P4/mmm (No. 123), with a = 3.985 Å, b = 3.985 Å, c = 3.731 Å, α = 90.00°, β = 90.00° and γ = 90.00°. Symmetry generates all atoms from Cu at (0.000, 0.500, 0.000), Hg at (0.000, 0.000, 0.500) and Ir at (0.500, 0.500, 0.500).